1.
Here is an optimized crystal structure of ReMo2 from the Open Quantum Materials Database. Energies are from PBE.

Unit cell a=10.9698 b=10.9698 c=10.9698 alpha=90.00 beta=90.00 gamma=90.00
Last column: nearest neighbours and their distance in Å.
Space group Fd-3m (No. 227, origin choice 2)
Symmetry-distinct sites (fractional):
Re1 0.1250 0.1250 0.1250 [8 per cell]  4 Mo 2.38
Mo1 0.0000 0.0000 0.0000 [16 per cell]  2 Re 2.38

Offset from the most stable computed form: 9.409 eV/f.u.
Formation enthalpy at 0 K: 3.564 eV per atom



2.
Here is an optimized crystal structure of TbCo from the Open Quantum Materials Database. Energies are from PBE.

Unit cell a=4.5017 b=4.5017 c=5.4991 alpha=90.00 beta=90.00 gamma=120.00
Last column: nearest neighbours and their distance in Å.
Space group P6_3/mmc (No. 194)
Symmetry-distinct sites (fractional):
Tb1 0.3333 0.6667 0.2500 [2 per cell]  5 Co 2.60-2.75
Co1 0.3333 0.6667 0.7500 [2 per cell]  5 Tb 2.60-2.75

Formation enthalpy at 0 K: 0.570 eV per atom



3.
Here is an optimized crystal structure of ScCdSn from the Open Quantum Materials Database. Energies are from PBE.

Unit cell a=4.3425 b=14.4219 c=4.2884 alpha=90.00 beta=90.00 gamma=90.00
Last column: nearest neighbours and their distance in Å.
Space group Cmmm (No. 65)
Symmetry-distinct sites (fractional):
Sc1 0.0000 0.1604 0.0000 [4 per cell]  6 Sn 3.05-3.27, 4 Cd 3.15-3.17, 2 Sc 3.38
Cd1 0.0000 0.0000 0.5000 [2 per cell]  4 Cd 3.05, 4 Sc 3.15, 4 Sn 3.26
Cd2 0.0000 0.5000 0.0000 [2 per cell]  4 Cd 3.05, 4 Sc 3.17, 4 Sn 3.24
Sn1 0.0000 0.3315 0.5000 [4 per cell]  6 Sc 3.05-3.27, 2 Sn 3.20, 4 Cd 3.24-3.26



4.
Here is an optimized crystal structure of Y2Tm3LuBi2Os from the Open Quantum Materials Database. Energies are from PBE.

Unit cell a=4.2160 b=14.1820 c=8.2708 alpha=90.00 beta=90.00 gamma=90.00
Last column: nearest neighbours and their distance in Å.
Space group Amm2 (No. 38)
Symmetry-distinct sites (fractional):
Y1 0.0000 0.1176 0.0000 [4 per cell]  2 Os 2.90, 2 Bi 3.24
Tm1 0.5000 0.0000 0.7300 [2 per cell]  4 Bi 3.28, 1 Os 3.31, 4 Y 3.49
Tm2 0.5000 0.1906 0.3102 [4 per cell]  1 Os 3.08, 4 Bi 3.32-3.35, 2 Lu 3.45
Lu1 0.0000 0.0000 0.3529 [2 per cell]  2 Os 2.80
Bi1 0.0000 0.1647 0.6172 [4 per cell]  1 Lu 3.20, 2 Y 3.24, 6 Tm 3.28-3.35
Os1 0.5000 0.0000 0.1307 [2 per cell]  2 Lu 2.80, 4 Y 2.90, 2 Tm 3.08



5.
Here is an optimized crystal structure of SrCo2AsP from the Open Quantum Materials Database. Energies are from PBE.

Unit cell a=3.8431 b=3.8431 c=11.6247 alpha=90.00 beta=90.00 gamma=90.00
Last column: nearest neighbours and their distance in Å.
Space group I4mm (No. 107)
Symmetry-distinct sites (fractional):
Sr1 0.0000 0.0000 0.0000 [2 per cell]  4 As 3.21, 4 P 3.21, 8 Co 3.39-3.58
Co1 0.0000 0.5000 0.2398 [4 per cell]  2 P 2.20, 2 As 2.33
As1 0.0000 0.0000 0.3531 [2 per cell]  4 Co 2.33
P1 0.0000 0.0000 0.6477 [2 per cell]  4 Co 2.20



6.
Here is an optimized crystal structure of NaGa2CuSe4 from the Open Quantum Materials Database. Energies are from PBE.

Unit cell a=5.9764 b=5.9764 c=11.1707 alpha=90.00 beta=90.00 gamma=90.00
Last column: nearest neighbours and their distance in Å.
Space group I-4 (No. 82)
Symmetry-distinct sites (fractional):
Na1 0.0000 0.0000 0.0000 [2 per cell]  4 Se 2.76
Ga1 0.0000 0.0000 0.5000 [2 per cell]  4 Se 2.45
Ga2 0.0000 0.5000 0.7500 [2 per cell]  4 Se 2.47
Cu1 0.0000 0.5000 0.2500 [2 per cell]  4 Se 2.48
Se1 0.2267 0.7719 0.6353 [8 per cell]  2 Ga 2.45-2.47, 1 Cu 2.48



7.
Here is an optimized crystal structure of LiScNiPb from the Open Quantum Materials Database. Energies are from PBE.

Unit cell a=6.6000 b=6.6000 c=6.6000 alpha=90.00 beta=90.00 gamma=90.00
Last column: nearest neighbours and their distance in Å.
Space group F-43m (No. 216)
Symmetry-distinct sites (fractional):
Li1 0.0000 0.0000 0.0000 [4 per cell]  4 Pb 2.86, 4 Ni 2.86
Sc1 0.0000 0.0000 0.5000 [4 per cell]  4 Ni 2.86, 4 Pb 2.86
Ni1 0.2500 0.2500 0.7500 [4 per cell]  4 Li 2.86, 4 Sc 2.86
Pb1 0.2500 0.2500 0.2500 [4 per cell]  4 Li 2.86, 4 Sc 2.86

Offset from the most stable computed form: 0.819 eV/f.u.



8.
Here is an optimized crystal structure of Lu4ZnSN2 from the Open Quantum Materials Database. Energies are from PBE.

Unit cell a=3.4617 b=3.4617 c=13.2564 alpha=90.00 beta=90.00 gamma=120.00
Last column: nearest neighbours and their distance in Å.
Space group P-6m2 (No. 187)
Symmetry-distinct sites (fractional):
Lu1 0.0000 0.0000 0.1390 [2 per cell]  3 N 2.33
Lu2 0.3333 0.6667 0.3345 [2 per cell]  3 N 2.44
Zn1 0.0000 0.0000 0.5000 [1 per cell]  6 Lu 2.97
S1 0.3333 0.6667 0.0000 [1 per cell]  6 Lu 2.72
N1 0.6667 0.3333 0.2288 [2 per cell]  6 Lu 2.33-2.44



Number 1: E_tot -7.809 eV per atom. Number 2: E_tot -5.298 eV per atom. Number 3: E_tot -4.172 eV per atom. Number 4: E_tot -6.107 eV per atom. Number 5: E_tot -5.917 eV per atom. Number 6: E_tot -3.760 eV per atom. Number 7: E_tot -4.579 eV per atom. Number 8: E_tot -6.428 eV per atom.